# 1
# Be5Se3

Be5Se3 after structural relaxation (PBE, the Alexandria database).

Calculated values
D(E_F) = 0.2841 states/eV per atom
distance to the lowest polymorph of the same formula = 4.62 eV per formula unit
total energy = -3.29 eV/atom
uncorrected formation energy = 0.341 eV/atom

```
Be5Se3
1.0
-1.925 1.557 -5.901
-4.314 -1.517 4.477
-0.372 6.400 1.810
Se Be
6 10
direct
0.561 0.561 0.750
0.439 0.000 0.750
0.561 0.000 0.250
0.000 0.561 0.250
0.439 0.439 0.250
0.000 0.439 0.750
0.192 0.192 0.750
0.333 0.667 0.500
0.000 0.192 0.250
0.808 0.000 0.750
0.667 0.333 0.000
0.667 0.333 0.500
0.808 0.808 0.250
0.333 0.667 0.000
0.000 0.808 0.750
0.192 0.000 0.250
```

# 2
# BeSe

BeSe after structural relaxation (PBE, the Alexandria database).

Calculated values
distance to the lowest polymorph of the same formula = 1.00 eV per formula unit
total energy = -3.91 eV/atom
uncorrected formation energy = -0.306 eV/atom

```
BeSe
1.0
-2.634 -0.078 -2.338
-0.414 -1.479 3.170
-1.914 4.814 1.997
Se Be
2 2
direct
0.333 0.667 0.250
0.667 0.333 0.750
0.000 0.000 0.000
0.000 0.000 0.500
```

- Among the records above, which one has the lowest distance to the lowest polymorph of the same formula?
  BeSe

- Which value of distance to the lowest polymorph of the same formula does entry 1 give?
  4.62 eV per formula unit

- What is the total energy in the second record?
  -3.91 eV/atom